Entry 1:
Material: Pd3Pt
Method: DFT, PBE-GGA
State: relaxed

a b c (Å): 2.7708 9.3023 4.8123
angles (deg): 90.00 90.00 90.00
Positions (direct):
Pd 0.0000 0.0000 0.0000
Pd 0.0000 0.2486 0.6660
Pd 0.0000 0.7514 0.6660
Pd 0.5000 0.2514 0.1660
Pd 0.5000 0.5000 0.5000
Pd 0.5000 0.7486 0.1660
Pt 0.0000 0.5000 0.9987
Pt 0.5000 0.0000 0.4987

Results
- density of states at the Fermi level (states/eV per cell) = 18.8
- volume (Å³ per atom) = 15.50
- DFT formation energy (eV per formula unit) = 0.06

---

Entry 2:
Material: Pd2Pt13
Method: DFT, PBE-GGA
State: relaxed

a b c (Å): 7.7658 7.7658 7.7658
angles (deg): 55.30 55.30 55.30
Positions (direct):
Pd 0.2367 0.2367 0.2367
Pd 0.7633 0.7633 0.7633
Pt 0.0000 0.0000 0.0000
Pt 0.0182 0.0182 0.6399
Pt 0.0182 0.6399 0.0182
Pt 0.2438 0.2438 0.6027
Pt 0.2438 0.6027 0.2438
Pt 0.3601 0.9818 0.9818
Pt 0.3973 0.7562 0.7562
Pt 0.6027 0.2438 0.2438
Pt 0.6399 0.0182 0.0182
Pt 0.7562 0.3973 0.7562
Pt 0.7562 0.7562 0.3973
Pt 0.9818 0.3601 0.9818
Pt 0.9818 0.9818 0.3601

Results
- density of states at the Fermi level (states/eV per cell) = 32.1
- volume (Å³ per atom) = 19.66
- DFT formation energy (eV per formula unit) = 6.65

---

Entry 3:
Material: Pd3Pt
Method: DFT, PBE-GGA
State: relaxed

a b c (Å): 2.7812 2.7812 9.2311
angles (deg): 90.00 90.00 120.00
Positions (direct):
Pd 0.0000 0.0000 0.0000
Pd 0.6667 0.3333 0.2487
Pd 0.6667 0.3333 0.7513
Pt 0.3333 0.6667 0.5000

Results
- density of states at the Fermi level (states/eV per cell) = 9.9
- volume (Å³ per atom) = 15.46
- DFT formation energy (eV per formula unit) = 0.01

---

Entry 4:
Material: Pd2Pt
Method: DFT, PBE-GGA
State: relaxed

a b c (Å): 2.7901 2.7901 6.8651
angles (deg): 90.00 90.00 120.00
Positions (direct):
Pd 0.3333 0.6667 0.3348
Pd 0.6667 0.3333 0.6652
Pt 0.0000 0.0000 0.0000

Results
- density of states at the Fermi level (states/eV per cell) = 6.8
- volume (Å³ per atom) = 15.43
- DFT formation energy (eV per formula unit) = -0.07

---

Entry 5:
Material: Pd13Pt3
Method: DFT, PBE-GGA
State: relaxed

a b c (Å): 7.8792 5.6002 5.6002
angles (deg): 90.07 90.00 90.00
Positions (direct):
Pd 0.0000 0.0000 0.0000
Pd 0.0000 0.9997 0.4985
Pd 0.0000 0.4977 0.4977
Pd 0.0000 0.4985 0.9997
Pd 0.2501 0.2494 0.7489
Pd 0.2501 0.7489 0.2494
Pd 0.2503 0.7502 0.7502
Pd 0.5000 0.4982 0.4982
Pd 0.5000 0.5001 0.9993
Pd 0.5000 0.9993 0.5001
Pd 0.7499 0.2494 0.7489
Pd 0.7499 0.7489 0.2494
Pd 0.7497 0.7502 0.7502
Pt 0.2504 0.2483 0.2483
Pt 0.5000 0.0013 0.0013
Pt 0.7496 0.2483 0.2483

Results
- density of states at the Fermi level (states/eV per cell) = 36.6
- volume (Å³ per atom) = 15.44
- DFT formation energy (eV per formula unit) = 0.00

---

Entry 6:
Material: Pd2Pt3
Method: DFT, PBE-GGA
State: relaxed

a b c (Å): 2.7951 2.7951 19.8306
angles (deg): 90.00 90.00 90.00
Positions (direct):
Pd 0.0000 0.0000 0.0999
Pd 0.0000 0.0000 0.9001
Pd 0.5000 0.5000 0.4001
Pd 0.5000 0.5000 0.5999
Pt 0.0000 0.0000 0.3003
Pt 0.0000 0.0000 0.5000
Pt 0.0000 0.0000 0.6997
Pt 0.5000 0.5000 0.0000
Pt 0.5000 0.5000 0.1997
Pt 0.5000 0.5000 0.8003

Results
- density of states at the Fermi level (states/eV per cell) = 22.8
- volume (Å³ per atom) = 15.49
- DFT formation energy (eV per formula unit) = -0.16

---

Entry 7:
Material: Pd2Pt
Method: DFT, PBE-GGA
State: relaxed

a b c (Å): 2.7979 2.7979 11.8261
angles (deg): 90.00 90.00 90.00
Positions (direct):
Pd 0.0000 0.0000 0.1667
Pd 0.0000 0.0000 0.8333
Pd 0.5000 0.5000 0.3333
Pd 0.5000 0.5000 0.6667
Pt 0.0000 0.0000 0.5000
Pt 0.5000 0.5000 0.0000

Results
- density of states at the Fermi level (states/eV per cell) = 14.6
- volume (Å³ per atom) = 15.43
- DFT formation energy (eV per formula unit) = -0.06

---

Entry 8:
Material: Pd3Pt
Method: DFT, PBE-GGA
State: relaxed

a b c (Å): 6.2916 6.2916 6.2916
angles (deg): 90.00 90.00 90.00
Positions (direct):
Pd 0.0000 0.0000 0.0000
Pd 0.0000 0.5000 0.5000
Pd 0.2500 0.2500 0.2500
Pd 0.2500 0.2500 0.7500
Pd 0.2500 0.7500 0.2500
Pd 0.2500 0.7500 0.7500
Pd 0.5000 0.0000 0.5000
Pd 0.5000 0.5000 0.0000
Pd 0.7500 0.2500 0.2500
Pd 0.7500 0.2500 0.7500
Pd 0.7500 0.7500 0.2500
Pd 0.7500 0.7500 0.7500
Pt 0.0000 0.0000 0.5000
Pt 0.0000 0.5000 0.0000
Pt 0.5000 0.0000 0.0000
Pt 0.5000 0.5000 0.5000

Results
- density of states at the Fermi level (states/eV per cell) = 21.2
- volume (Å³ per atom) = 15.57
- DFT formation energy (eV per formula unit) = 0.19